Record 1
PrSm2Th3P6 | GGA-PBE | optimized geometry

Values from the calculation:
* M_tot: 0.000 μB/atom
* total energy: -7.315 eV per atom
* E_form: -1.570 eV/atom

Cell: 7.1811 7.1811 7.1558 Å, 99.65 99.65 119.92°
Element x y z (fractional)
Pr 0.0000 0.0000 0.0000
Sm 0.3331 0.6669 0.0000
Sm 0.6669 0.3331 0.0000
Th 0.1661 0.8339 0.5000
Th 0.5000 0.5000 0.5000
Th 0.8339 0.1661 0.5000
P 0.0843 0.4208 0.2528
P 0.2526 0.2526 0.7479
P 0.4208 0.0843 0.2528
P 0.5792 0.9157 0.7472
P 0.7474 0.7474 0.2521
P 0.9157 0.5792 0.7472

=====

Record 2
BaLaRe2 | GGA-PBE | optimized geometry

Values from the calculation:
* polymorph energy (0 for the lowest one): 455 kJ/mol of formula units
* M_tot: 0.734 μB/atom
* total energy: -6.504 eV per atom
* E_form: 1.433 eV/atom

Cell: 5.2020 5.2020 5.2020 Å, 60.00 60.00 60.00°
Element x y z (fractional)
Ba 0.0000 0.0000 0.0000
La 0.5000 0.5000 0.5000
Re 0.2500 0.2500 0.2500
Re 0.7500 0.7500 0.7500

=====

Record 3
AlZnW2 | GGA-PBE | optimized geometry

Values from the calculation:
* polymorph energy (0 for the lowest one): 29 kJ/mol of formula units
* M_tot: 0.000 μB/atom
* total energy: -7.592 eV per atom
* E_form: 0.138 eV/atom

Cell: 3.2879 4.3110 4.3327 Å, 90.00 90.00 90.00°
Element x y z (fractional)
Al 0.0000 0.0000 0.0000
Zn 0.5000 0.5000 0.0000
W 0.0000 0.5000 0.5000
W 0.5000 0.0000 0.5000

=====

Record 4
BeC2 | GGA-PBE | optimized geometry

Values from the calculation:
* polymorph energy (0 for the lowest one): 258 kJ/mol of formula units
* M_tot: 0.000 μB/atom
* total energy: -6.114 eV per atom
* E_form: 1.277 eV/atom

Cell: 4.7628 4.7628 4.7628 Å, 90.00 90.00 90.00°
Element x y z (fractional)
Be 0.0000 0.0000 0.0000
Be 0.0000 0.5000 0.5000
Be 0.5000 0.0000 0.5000
Be 0.5000 0.5000 0.0000
C 0.0766 0.5766 0.9234
C 0.0766 0.9234 0.4234
C 0.4234 0.0766 0.9234
C 0.4234 0.4234 0.4234
C 0.5766 0.5766 0.5766
C 0.5766 0.9234 0.0766
C 0.9234 0.0766 0.5766
C 0.9234 0.4234 0.0766